# 1
# Pa2VIn

A relaxed structure of Pa2VIn (GGA-PBE, the Alexandria database).

Cell and atoms, written as POSCAR:
```
Pa2VIn
1.0
-1.835 0.832 -2.350
0.740 -0.796 -2.898
-5.937 -9.172 -0.649
V Pa In
1 2 1
direct
0.000 0.000 0.000 V
0.078 0.078 0.767 Pa
0.922 0.922 0.233 Pa
0.500 0.500 0.500 In
```

Properties
Crystal system: trigonal
Polymorph energy (0 for the lowest one), meV/atom: 257

***

# 2
# Ho3CuSi6Pd2

A relaxed structure of Ho3CuSi6Pd2 (GGA-PBE, the Alexandria database).

Cell and atoms, written as POSCAR:
```
Ho3CuSi6Pd2
1.0
5.502 0.000 0.000
-2.751 4.765 0.000
0.000 0.000 8.299
Ho Si Cu Pd
3 6 1 2
direct
0.333 0.667 0.594 Ho
0.000 0.000 0.000 Ho
0.667 0.333 0.406 Ho
0.819 0.181 0.720 Si
0.181 0.363 0.280 Si
0.819 0.637 0.720 Si
0.363 0.181 0.720 Si
0.637 0.819 0.280 Si
0.181 0.819 0.280 Si
0.000 0.000 0.500 Cu
0.333 0.667 0.034 Pd
0.667 0.333 0.966 Pd
```

Properties
Formation energy from raw total energies, kJ/mol of formula units: -488
Crystal system: trigonal

***

# 3
# K2Au2I7

A relaxed structure of K2Au2I7 (GGA-PBE, the Alexandria database).

Cell and atoms, written as POSCAR:
```
K2Au2I7
1.0
-2.735 6.151 -2.949
-4.464 1.958 8.318
12.244 7.723 4.752
I K Au
14 4 4
direct
0.922 0.151 0.171 I
0.624 0.418 0.554 I
0.376 0.082 0.054 I
0.078 0.849 0.829 I
0.525 0.017 0.645 I
0.475 0.983 0.355 I
0.922 0.651 0.329 I
0.078 0.349 0.671 I
0.000 0.000 0.500 I
0.624 0.918 0.946 I
0.475 0.483 0.145 I
0.000 0.500 0.000 I
0.525 0.517 0.855 I
0.376 0.582 0.446 I
0.669 0.819 0.167 K
0.331 0.181 0.833 K
0.331 0.681 0.667 K
0.669 0.319 0.333 K
0.818 0.173 0.628 Au
0.818 0.673 0.872 Au
0.182 0.327 0.128 Au
0.182 0.827 0.372 Au
```

Properties
Formation energy from raw total energies, kJ/mol of formula units: -512
Crystal system: monoclinic
Polymorph energy (0 for the lowest one), meV/atom: 15

***

# 4
# AgTe2

A relaxed structure of AgTe2 (GGA-PBE, the Alexandria database).

Cell and atoms, written as POSCAR:
```
AgTe2
1.0
-5.778 1.500 -0.182
-3.839 -1.900 -4.163
4.183 -2.010 3.760
Te Ag
2 1
direct
0.365 0.365 0.000 Te
0.635 0.635 0.000 Te
0.000 0.000 0.000 Ag
```

Properties
Formation energy from raw total energies, kJ/mol of formula units: 62
Crystal system: tetragonal